## InPCl (GGA-PBE)

Data for a relaxed structure of InPCl.

a b c (Å): 3.785 4.995 9.085
angles (deg): 90.00 90.00 90.00
Space group Pmmn (No. 59, origin choice 2)
Asymmetric unit:
In 0.250 0.250 0.159
P 0.250 0.750 0.049
Cl 0.250 0.750 0.644

Output
polymorph energy (0 for the lowest one): 60 meV per atom
raw formation energy: -0.2153 eV/atom
V: 28.62 A^3/atom
D(E_F): 0.220 states/eV/atom



## Ca2BiO4 (GGA-PBE)

Data for a relaxed structure of Ca2BiO4.

a b c (Å): 11.995 3.502 5.938
angles (deg): 90.00 117.69 90.00
Space group C2/m (No. 12)
Asymmetric unit:
Ca 0.195 0.000 0.177
Bi 0.000 0.500 0.500
O 0.127 0.000 0.490
O 0.127 0.500 0.915

Output
polymorph energy (0 for the lowest one): 93 meV per atom
raw formation energy: -2.0728 eV/atom
V: 15.78 A^3/atom
D(E_F): 0.353 states/eV/atom



## Ho2PdSe (GGA-PBE)

Data for a relaxed structure of Ho2PdSe.

a b c (Å): 3.9908 3.9908 21.4580
angles (deg): 90.00 90.00 120.00
Space group R3m (No. 160, hexagonal axes)
Asymmetric unit:
Ho 0.0000 0.0000 0.0000
Ho 0.0000 0.0000 0.1826
Pd 0.0000 0.0000 0.5913
Se 0.0000 0.0000 0.7590

Output
polymorph energy (0 for the lowest one): 103 meV per atom
raw formation energy: -1.2188 eV/atom
V: 24.66 A^3/atom
D(E_F): 0.328 states/eV/atom



## Nb2Pd5Au2 (GGA-PBE)

Data for a relaxed structure of Nb2Pd5Au2.

a b c (Å): 16.593 4.579 7.902
angles (deg): 90.00 90.00 90.00
Space group Ima2 (No. 46)
Asymmetric unit:
Nb 0.086 0.001 0.000
Pd 0.081 0.000 0.334
Pd 0.166 0.000 0.666
Pd 0.250 0.502 0.498
Au 0.000 0.000 0.667
Au 0.250 0.002 0.332

Output
DFT formation energy: -0.14 eV/atom
V: 16.68 A^3/atom
D(E_F): 0.931 states/eV/atom